Computed, not measured: an optimized crystal structure of K2FeCo3F12 at the PBE+U level of DFT.

Cell and atoms, written as extended XYZ:
```
18
Lattice="-5.9831 3.7665 -1.7368 -5.3840 -3.1834 -3.7255 -6.3391 -1.4793 3.2601" Properties=species:S:1:pos:R:3 pbc="T T T"
K -11.0314 -0.5583 -1.3720
K -6.6748 -0.3378 -0.8302
Fe 0.0000 0.0000 0.0000
Co -2.9915 1.8833 -0.8684
Co -2.6920 -1.5917 -1.8628
Co -3.1695 -0.7397 1.6301
F -9.6330 -1.1851 1.2395
F -12.5475 0.0801 -4.0599
F -12.7673 -3.1584 -0.9751
F -9.4186 1.9735 -1.7691
F -13.1371 1.1321 0.2526
F -9.0579 -2.2111 -2.9665
F -8.0732 0.2889 -3.4418
F -5.1587 -0.9763 1.8577
F -4.9389 2.2622 -1.2271
F -8.2875 -2.8696 -0.4331
F -4.5690 -2.0283 -2.4548
F -8.6483 1.3149 0.7643
```

Calculated values
The space-group type is R-3m (166). The uncorrected energy is -4.754 eV per atom. As for the density of states at the Fermi level: 5.90 states/eV per cell.